(1)
# PBE Tl3BSb, optimized geometry
# * crystal system: cubic
# * formation energy without anion corrections: 1.387 eV/atom
# * Fermi-level density of states: 5.9 states/eV per cell
# * calculated total energy: -2.19 eV/atom
data_Tl3BSb
_chemical_formula_sum 'Tl3 B1 Sb1'
_cell_length_a 5.9175
_cell_length_b 5.9175
_cell_length_c 5.9175
_cell_angle_alpha 90.00
_cell_angle_beta 90.00
_cell_angle_gamma 90.00
_symmetry_space_group_name_H-M 'P 1'
_symmetry_Int_Tables_number 1
loop_
_symmetry_equiv_pos_as_xyz
'x,y,z'
loop_
_atom_site_label
_atom_site_type_symbol
_atom_site_fract_x
_atom_site_fract_y
_atom_site_fract_z
_atom_site_occupancy
Sb1 Sb 0.0000 0.0000 0.0000 1
Tl1 Tl 0.0000 0.5000 0.0000 1
Tl2 Tl 0.0000 0.0000 0.5000 1
Tl3 Tl 0.5000 0.0000 0.0000 1
B1 B 0.5000 0.5000 0.5000 1

(2)
# PBE Cs2CeAlS4, optimized geometry
# * crystal system: monoclinic
# * formation energy without anion corrections: -1.206 eV/atom
# * Fermi-level density of states: 11.1 states/eV per cell
# * calculated total energy: -4.69 eV/atom
data_Cs2CeAlS4
_chemical_formula_sum 'Cs4 Ce2 Al2 S8'
_cell_length_a 8.2101
_cell_length_b 8.2101
_cell_length_c 8.5019
_cell_angle_alpha 107.91
_cell_angle_beta 107.91
_cell_angle_gamma 92.08
_symmetry_space_group_name_H-M 'P 1'
_symmetry_Int_Tables_number 1
loop_
_symmetry_equiv_pos_as_xyz
'x,y,z'
loop_
_atom_site_label
_atom_site_type_symbol
_atom_site_fract_x
_atom_site_fract_y
_atom_site_fract_z
_atom_site_occupancy
Cs1 Cs 0.5000 0.0000 0.0000 1
Cs2 Cs 0.5000 0.0000 0.5000 1
Cs3 Cs 0.0000 0.0000 0.5000 1
Cs4 Cs 0.5000 0.5000 0.0000 1
Ce1 Ce 0.0000 0.5000 0.0000 1
Ce2 Ce 0.0000 0.5000 0.5000 1
Al1 Al 0.5000 0.5000 0.5000 1
Al2 Al 0.0000 0.0000 0.0000 1
S1 S 0.1295 0.7379 0.8579 1
S2 S 0.7621 0.3705 0.6421 1
S3 S 0.2379 0.6295 0.3579 1
S4 S 0.8705 0.2621 0.1421 1
S5 S 0.8471 0.8131 0.0662 1
S6 S 0.6869 0.6529 0.4338 1
S7 S 0.3131 0.3471 0.5662 1
S8 S 0.1529 0.1869 0.9338 1